A relaxed IrBrN crystal, computed with GGA-PBE.

Cell: 3.703 5.213 8.517 Å, 92.77 94.18 98.37°
Positions (direct):
Ir1 0.000 0.000 0.000
Ir2 0.176 0.611 0.824
Br1 0.064 0.039 0.288
Br2 0.643 0.574 0.615
N1 0.063 0.297 0.900
N2 0.482 0.873 0.954

Summary:
* SG: P1
* spin magnetization: 0.0 μB per cell
* excess energy over the best structure of this formula in the dataset: 0.025 eV/atom